No. 1
This record from the Alexandria database describes HfAu3Se after structural relaxation. The functional is PBE-GGA.

```
data_HfAu3Se
_chemical_formula_sum 'Hf1 Au3 Se1'
_symmetry_space_group_name_H-M 'P m -3 m'
_symmetry_Int_Tables_number 221
_symmetry_space_group_name_Hall '-P 4 2 3'
_cell_length_a 4.901
_cell_length_b 4.901
_cell_length_c 4.901
_cell_angle_alpha 90.00
_cell_angle_beta 90.00
_cell_angle_gamma 90.00
loop_
_atom_site_label
_atom_site_type_symbol
_atom_site_fract_x
_atom_site_fract_y
_atom_site_fract_z
Hf1 Hf 0.000 0.000 0.000
Au1 Au 0.000 0.500 0.500
Se1 Se 0.500 0.500 0.500
```

Its density of states at the Fermi level is 5.6 states/eV/cell. The calculation puts the formation energy from raw total energies at 3.714 eV per formula unit. The calculation puts the energy above the most stable polymorph in this dataset at 0.000 eV/atom. The calculation puts the total magnetization at 0.278 μB per formula unit.

No. 2
This record from the Alexandria database describes Hf3AuSe after structural relaxation. The functional is PBE-GGA.

```
data_Hf3AuSe
_chemical_formula_sum 'Hf3 Au1 Se1'
_symmetry_space_group_name_H-M 'P m -3 m'
_symmetry_Int_Tables_number 221
_symmetry_space_group_name_Hall '-P 4 2 3'
_cell_length_a 4.871
_cell_length_b 4.871
_cell_length_c 4.871
_cell_angle_alpha 90.00
_cell_angle_beta 90.00
_cell_angle_gamma 90.00
loop_
_atom_site_label
_atom_site_type_symbol
_atom_site_fract_x
_atom_site_fract_y
_atom_site_fract_z
Hf1 Hf 0.000 0.000 0.500
Au1 Au 0.500 0.500 0.500
Se1 Se 0.000 0.000 0.000
```

Its density of states at the Fermi level is 4.0 states/eV/cell. The calculation puts the formation energy from raw total energies at 0.654 eV per formula unit. The calculation puts the energy above the most stable polymorph in this dataset at 0.000 eV/atom. The calculation puts the total magnetization at 0.000 μB per formula unit.

No. 3
This record from the Alexandria database describes HfAuSe2 after structural relaxation. The functional is PBE-GGA.

```
data_HfAuSe2
_chemical_formula_sum 'Hf4 Au4 Se8'
_symmetry_space_group_name_H-M 'I -4 2 d'
_symmetry_Int_Tables_number 122
_symmetry_space_group_name_Hall 'I -4 2bw'
_cell_length_a 6.218
_cell_length_b 6.218
_cell_length_c 11.379
_cell_angle_alpha 90.00
_cell_angle_beta 90.00
_cell_angle_gamma 90.00
loop_
_atom_site_label
_atom_site_type_symbol
_atom_site_fract_x
_atom_site_fract_y
_atom_site_fract_z
Hf1 Hf 0.000 0.000 0.000
Au1 Au 0.000 0.000 0.500
Se1 Se 0.237 0.250 0.125
```

Its density of states at the Fermi level is 15.7 states/eV/cell. The calculation puts the formation energy from raw total energies at -1.644 eV per formula unit. The calculation puts the energy above the most stable polymorph in this dataset at 0.365 eV/atom. The calculation puts the total magnetization at 0.000 μB per formula unit.

No. 4
This record from the Alexandria database describes HfAuSe3 after structural relaxation. The functional is PBE-GGA.

```
data_HfAuSe3
_chemical_formula_sum 'Hf1 Au1 Se3'
_symmetry_space_group_name_H-M 'P m -3 m'
_symmetry_Int_Tables_number 221
_symmetry_space_group_name_Hall '-P 4 2 3'
_cell_length_a 4.982
_cell_length_b 4.982
_cell_length_c 4.982
_cell_angle_alpha 90.00
_cell_angle_beta 90.00
_cell_angle_gamma 90.00
loop_
_atom_site_label
_atom_site_type_symbol
_atom_site_fract_x
_atom_site_fract_y
_atom_site_fract_z
Hf1 Hf 0.000 0.000 0.000
Au1 Au 0.500 0.500 0.500
Se1 Se 0.000 0.500 0.500
```

Its density of states at the Fermi level is 2.5 states/eV/cell. The calculation puts the formation energy from raw total energies at 2.461 eV per formula unit. The calculation puts the energy above the most stable polymorph in this dataset at 0.593 eV/atom. The calculation puts the total magnetization at 0.000 μB per formula unit.

No. 5
This record from the Alexandria database describes HfAu2Se after structural relaxation. The functional is PBE-GGA.

```
data_HfAu2Se
_chemical_formula_sum 'Hf4 Au8 Se4'
_symmetry_space_group_name_H-M 'I -4 2 d'
_symmetry_Int_Tables_number 122
_symmetry_space_group_name_Hall 'I -4 2bw'
_cell_length_a 7.799
_cell_length_b 7.799
_cell_length_c 5.386
_cell_angle_alpha 90.00
_cell_angle_beta 90.00
_cell_angle_gamma 90.00
loop_
_atom_site_label
_atom_site_type_symbol
_atom_site_fract_x
_atom_site_fract_y
_atom_site_fract_z
Hf1 Hf 0.000 0.000 0.000
Au1 Au 0.248 0.250 0.625
Se1 Se 0.000 0.000 0.500
```

Its density of states at the Fermi level is 0.3 states/eV/cell. The calculation puts the formation energy from raw total energies at -1.527 eV per formula unit. The calculation puts the total magnetization at 0.000 μB per formula unit.

No. 6
This record from the Alexandria database describes SrHf2AuSe after structural relaxation. The functional is PBE-GGA.

```
data_SrHf2AuSe
_chemical_formula_sum 'Sr1 Hf2 Au1 Se1'
_symmetry_space_group_name_H-M 'P 4/m m m'
_symmetry_Int_Tables_number 123
_symmetry_space_group_name_Hall '-P 4 2'
_cell_length_a 5.103
_cell_length_b 5.103
_cell_length_c 6.084
_cell_angle_alpha 90.00
_cell_angle_beta 90.00
_cell_angle_gamma 90.00
loop_
_atom_site_label
_atom_site_type_symbol
_atom_site_fract_x
_atom_site_fract_y
_atom_site_fract_z
Sr1 Sr 0.000 0.000 0.000
Hf1 Hf 0.000 0.500 0.500
Au1 Au 0.000 0.000 0.500
Se1 Se 0.500 0.500 0.000
```

Its density of states at the Fermi level is 4.5 states/eV/cell. The calculation puts the formation energy from raw total energies at 1.376 eV per formula unit. The calculation puts the total magnetization at 0.694 μB per formula unit.

Question: What is the density of states at the Fermi level in the fourth record?
Answer: 2.5 states/eV/cell